[1]
VASP calculation (GGA-PBE) on Tb4Dy5Th2 after structural relaxation.

```
Tb4Dy5Th2
1.0
-1.7330 3.8159 14.1094
1.7330 -3.8159 14.1094
1.7330 3.8159 -14.1094
Tb Dy Th
4 5 2
direct
0.1044 0.1044 0.0000 Tb
0.1795 0.5000 0.6795 Tb
0.8205 0.5000 0.3205 Tb
0.8956 0.8956 0.0000 Tb
0.0479 0.3036 0.7442 Dy
0.4406 0.6964 0.7442 Dy
0.5000 0.0000 0.5000 Dy
0.5594 0.3036 0.2558 Dy
0.9521 0.6964 0.2558 Dy
0.3981 0.3981 0.0000 Th
0.6019 0.6019 0.0000 Th
```

Values from the calculation:
offset from the most stable computed form = 294 kJ/mol of formula units
energy of formation = 0.4196 eV per atom

=====

[2]
VASP calculation (GGA-PBE) on DyBeZn2Au5 after structural relaxation.

```
DyBeZn2Au5
1.0
-2.2299 3.0034 6.5122
2.2299 -3.0034 6.5122
2.2299 3.0034 -6.5122
Dy Be Zn Au
1 1 2 5
direct
0.0000 0.0000 0.0000 Dy
0.5000 0.5000 0.0000 Be
0.3016 0.8016 0.5000 Zn
0.6984 0.1984 0.5000 Zn
0.1023 0.3661 0.7362 Au
0.3701 0.6339 0.7362 Au
0.5000 0.0000 0.5000 Au
0.6299 0.3661 0.2638 Au
0.8977 0.6339 0.2638 Au
```

Values from the calculation:
energy of formation = -0.2737 eV per atom

=====

[3]
VASP calculation (GGA-PBE) on Sr3LaS after structural relaxation.

```
Sr3LaS
1.0
5.9327 0.0000 0.0000
0.0000 5.9327 0.0000
0.0000 0.0000 5.9327
Sr La S
3 1 1
direct
0.0000 0.0000 0.5000 Sr
0.0000 0.5000 0.0000 Sr
0.5000 0.0000 0.0000 Sr
0.5000 0.5000 0.5000 La
0.0000 0.0000 0.0000 S
```

Values from the calculation:
offset from the most stable computed form = 0 kJ/mol of formula units
ΔE_f (raw) = -556 meV per atom

=====

[4]
VASP calculation (GGA-PBE) on CaLaP2Cl after structural relaxation.

```
CaLaP2Cl
1.0
5.1535 0.0000 0.0000
0.0000 5.1535 0.0000
0.0000 0.0000 5.0426
Ca La P Cl
1 1 2 1
direct
0.0000 0.0000 0.0000 Ca
0.5000 0.5000 0.5000 La
0.0000 0.5000 0.0000 P
0.5000 0.0000 0.0000 P
0.0000 0.0000 0.5000 Cl
```

Values from the calculation:
offset from the most stable computed form = 0 kJ/mol of formula units
ΔE_f (raw) = -642 meV per atom

=====

[5]
VASP calculation (GGA-PBE) on NaGeP after structural relaxation.

```
NaGeP
1.0
6.0076 0.0000 0.0000
2.9454 5.2447 0.0000
2.9442 1.7240 5.3195
Na Ge P
2 2 2
direct
0.0000 0.0000 0.0000 Na
0.4891 0.4878 0.5083 Na
0.7076 0.7115 0.9384 Ge
0.9717 0.9704 0.5117 Ge
0.5579 0.9241 0.5731 P
0.9238 0.5572 0.5758 P
```

Values from the calculation:
energy of formation = -0.1436 eV per atom

=====

[6]
VASP calculation (GGA-PBE) on ZnCr2Au after structural relaxation.

```
ZnCr2Au
1.0
1.4907 -2.2320 0.0000
1.4907 2.2320 0.0000
0.0000 0.0000 8.5675
Zn Cr Au
1 2 1
direct
0.0000 0.0000 0.0000 Zn
0.0000 0.0000 0.5509 Cr
0.5000 0.5000 0.7484 Cr
0.5000 0.5000 0.2753 Au
```

Values from the calculation:
energy of formation = 0.1957 eV per atom